No. 1
DFT (PBE-GGA) results for a relaxed structure of AcLuTh.

Lattice parameters (Å, degrees): 5.5539 5.5539 5.5539 60.00 60.00 60.00
Last column: nearest neighbours and their distance in Å.
Sites, in units of the cell vectors:
Th: 0.0000 0.0000 0.0000  4 Lu 3.40
Ac: 0.5000 0.5000 0.5000  4 Lu 3.40
Lu: 0.2500 0.2500 0.2500  4 Ac 3.40, 4 Th 3.40

Values from the calculation:
SG = F-43m (216)
Magnetic moment = 0.0 μB/cell
Polymorph energy (0 for the lowest one) = 0.0 kJ per mole of atoms
Calculated volume = 40.38 A^3/atom
Formation energy = 0.723 eV/atom


No. 2
DFT (PBE-GGA) results for a relaxed structure of BaSi2Ni2Pd.

Lattice parameters (Å, degrees): 3.6344 3.6344 8.2419 90.00 90.00 90.00
Last column: nearest neighbours and their distance in Å.
Sites, in units of the cell vectors:
Pd: 0.5000 0.5000 0.7748  4 Si 2.63, 4 Ni 2.75
Si: 0.0000 0.0000 0.7062  4 Ni 2.36, 4 Pd 2.63
Ba: 0.0000 0.0000 0.1132  5 Si 3.27-3.35, 4 Ba 3.63
Si: 0.5000 0.5000 0.3583  4 Ni 2.27
Ni: 0.0000 0.5000 0.5237  4 Si 2.27-2.36
Ni: 0.5000 0.0000 0.5237  4 Si 2.27-2.36

Values from the calculation:
VASP energy = -5.31 eV per atom
SG = P4mm (99)
Magnetic moment = 0.0 μB/cell
Calculated volume = 18.14 A^3/atom


No. 3
DFT (PBE-GGA) results for a relaxed structure of Gd2Mg3Ga2PdAu.

Lattice parameters (Å, degrees): 4.2699 6.9841 6.9841 115.08 90.00 90.00
Last column: nearest neighbours and their distance in Å.
Sites, in units of the cell vectors:
Mg: 0.5000 0.0041 0.7593  2 Pd 2.69, 2 Ga 2.75-2.89, 1 Mg 2.89
Mg: 0.5000 0.2373 0.2373  2 Ga 2.73, 2 Pd 2.85, 2 Mg 3.03
Gd: 0.0000 0.4248 0.0093  1 Pd 3.00, 4 Ga 3.11-3.18, 4 Mg 3.18-3.25
Mg: 0.5000 0.7593 0.0041  2 Pd 2.69, 2 Ga 2.75-2.89, 1 Mg 2.89
Ga: 0.5000 0.6650 0.3695  3 Mg 2.73-2.89, 2 Au 2.76
Gd: 0.0000 0.0093 0.4248  1 Pd 3.00, 4 Ga 3.11-3.18, 4 Mg 3.18-3.25
Pd: 0.0000 0.9852 0.9852  6 Mg 2.69-2.85, 2 Gd 3.00
Au: 0.0000 0.5454 0.5454  4 Ga 2.76
Ga: 0.5000 0.3695 0.6650  3 Mg 2.73-2.89, 2 Au 2.76

Values from the calculation:
VASP energy = -3.64 eV per atom
SG = Amm2 (38)
Magnetic moment = 0.0 μB/cell
Calculated volume = 20.96 A^3/atom


No. 4
DFT (PBE-GGA) results for a relaxed structure of ErTmGa2Pd4.

Lattice parameters (Å, degrees): 4.3865 4.3865 8.9552 90.00 90.00 120.00
Last column: nearest neighbours and their distance in Å.
Sites, in units of the cell vectors:
Pd: 0.3333 0.6667 0.8319  3 Ga 2.64, 3 Pd 2.93, 3 Er 2.95
Tm: 0.3333 0.6667 0.5000  8 Pd 2.94-2.97
Er: 0.0000 0.0000 0.0000  8 Pd 2.95-2.98
Pd: 0.0000 0.0000 0.6668  3 Ga 2.64, 3 Pd 2.93, 3 Tm 2.94
Ga: 0.6667 0.3333 0.7497  6 Pd 2.64
Pd: 0.3333 0.6667 0.1681  3 Ga 2.64, 3 Pd 2.93, 3 Er 2.95
Pd: 0.0000 0.0000 0.3332  3 Ga 2.64, 3 Pd 2.93, 3 Tm 2.94
Ga: 0.6667 0.3333 0.2503  6 Pd 2.64

Values from the calculation:
VASP energy = -5.38 eV per atom
SG = P-6m2 (187)
Magnetic moment = 0.0 μB/cell
Calculated volume = 18.65 A^3/atom


No. 5
DFT (PBE-GGA) results for a relaxed structure of Ho2Sc.

Lattice parameters (Å, degrees): 6.3100 6.3100 6.3100 60.00 60.00 60.00
Last column: nearest neighbours and their distance in Å.
Sites, in units of the cell vectors:
Ho: 0.6250 0.1250 0.6250  6 Ho 3.15-3.16
Sc: 0.0000 0.0000 0.0000  12 Ho 3.70, 4 Sc 3.86
Sc: 0.2500 0.2500 0.2500  12 Ho 3.70, 4 Sc 3.86
Ho: 0.6250 0.6250 0.6250  6 Ho 3.15-3.16
Ho: 0.1250 0.6250 0.6250  6 Ho 3.15-3.16
Ho: 0.6250 0.6250 0.1250  6 Ho 3.15-3.16

Values from the calculation:
SG = Fd-3m (227)
Magnetic moment = 0.0 μB/cell
Polymorph energy (0 for the lowest one) = 0.0 kJ per mole of atoms
Calculated volume = 29.61 A^3/atom
Formation energy = 0.339 eV/atom


No. 6
DFT (PBE-GGA) results for a relaxed structure of NdGdGe2Pt4.

Lattice parameters (Å, degrees): 4.4153 4.4153 9.3437 90.00 90.00 120.00
Last column: nearest neighbours and their distance in Å.
Sites, in units of the cell vectors:
Pt: 0.0000 0.0000 0.6747  3 Ge 2.65, 3 Pt 2.96
Pt: 0.3333 0.6667 0.8359  3 Ge 2.66, 3 Pt 2.96, 3 Gd 2.97
Gd: 0.0000 0.0000 0.0000  8 Pt 2.97-3.04
Ge: 0.6667 0.3333 0.7532  6 Pt 2.65-2.66
Nd: 0.3333 0.6667 0.5000  8 Pt 3.03-3.14
Pt: 0.0000 0.0000 0.3253  3 Ge 2.65, 3 Pt 2.96
Ge: 0.6667 0.3333 0.2468  6 Pt 2.65-2.66
Pt: 0.3333 0.6667 0.1641  3 Ge 2.66, 3 Pt 2.96, 3 Gd 2.97

Values from the calculation:
VASP energy = -6.28 eV per atom
SG = P-6m2 (187)
Magnetic moment = 0.0 μB/cell
Calculated volume = 19.72 A^3/atom


No. 7
DFT (PBE-GGA) results for a relaxed structure of NaLuGePt.

Lattice parameters (Å, degrees): 4.8105 4.8105 4.8105 60.00 60.00 60.00
Last column: nearest neighbours and their distance in Å.
Sites, in units of the cell vectors:
Lu: 0.2500 0.2500 0.2500  4 Pt 2.95, 4 Ge 2.95
Na: 0.7500 0.7500 0.7500  4 Ge 2.95, 4 Pt 2.95
Pt: 0.5000 0.5000 0.5000  4 Lu 2.95, 4 Na 2.95
Ge: 0.0000 0.0000 0.0000  4 Lu 2.95, 4 Na 2.95

Values from the calculation:
SG = F-43m (216)
Magnetic moment = 0.0 μB/cell
Polymorph energy (0 for the lowest one) = 8.4 kJ per mole of atoms
Calculated volume = 19.68 A^3/atom


No. 8
DFT (PBE-GGA) results for a relaxed structure of KNbSeO.

Lattice parameters (Å, degrees): 8.0979 6.3746 5.9893 90.00 103.66 90.00
Last column: nearest neighbours and their distance in Å.
Sites, in units of the cell vectors:
Nb: 0.5110 0.6137 0.2674  3 O 2.14-2.31
Nb: 0.4890 0.3863 0.7326  3 O 2.14-2.31
K: 0.1066 0.7524 0.5240  2 O 2.60-2.77
Nb: 0.5110 0.8863 0.7674  3 O 2.14-2.31
O: 0.6263 0.3659 0.1171  3 Nb 2.14-2.31
K: 0.8934 0.2524 0.9760  2 O 2.60-2.77
K: 0.8934 0.2476 0.4760  2 O 2.60-2.77
Se: 0.7412 0.6286 0.6558  3 Nb 2.62-2.69
Se: 0.2588 0.3714 0.3442  3 Nb 2.62-2.69
O: 0.6263 0.1341 0.6171  3 Nb 2.14-2.31
K: 0.1066 0.7476 0.0240  2 O 2.60-2.77
O: 0.3737 0.8659 0.3829  3 Nb 2.14-2.31
Se: 0.2588 0.1286 0.8442  3 Nb 2.62-2.69
O: 0.3737 0.6341 0.8829  3 Nb 2.14-2.31
Nb: 0.4890 0.1137 0.2326  3 O 2.14-2.31
Se: 0.7412 0.8714 0.1558  3 Nb 2.62-2.69

Values from the calculation:
SG = P2_1/c (14)
Magnetic moment = 0.0 μB/cell
Polymorph energy (0 for the lowest one) = 0.0 kJ per mole of atoms
Calculated volume = 18.78 A^3/atom


> Which formula does entry 6 have?

NdGdGe2Pt4